1.
Np3Tl4SnS8 PBE optimized geometry; space group = R-3m (166); volume = 27.13 Å³/atom; total moment = 11.00 μB/cell; raw formation energy = -0.894 eV per atom
1.0
4.111 2.374 7.414
-4.111 2.374 7.414
0.000 -4.747 7.414
Np Tl Sn S
3 4 1 8
Direct
0.000 0.500 0.500
0.500 0.000 0.500
0.500 0.500 0.000
0.000 0.000 0.500
0.000 0.500 0.000
0.500 0.000 0.000
0.500 0.500 0.500
0.000 0.000 0.000
0.239 0.239 0.717
0.239 0.717 0.239
0.269 0.269 0.269
0.283 0.761 0.761
0.717 0.239 0.239
0.731 0.731 0.731
0.761 0.283 0.761
0.761 0.761 0.283

=====

2.
NbV5Ru6 PBE optimized geometry; space group = P2/m (10); energy relative to the elements = -0.21 eV per atom; volume = 14.15 Å³/atom; total moment = 4.41 μB/cell
1.0
4.297 0.000 0.000
0.000 6.138 0.000
-2.139 0.000 6.440
Nb V Ru
1 5 6
Direct
0.000 0.000 0.000
0.000 0.500 0.000
0.328 0.000 0.658
0.334 0.500 0.670
0.666 0.500 0.330
0.672 0.000 0.342
0.171 0.261 0.339
0.171 0.739 0.339
0.500 0.260 0.000
0.500 0.740 0.000
0.829 0.261 0.661
0.829 0.739 0.661

=====

3.
DySc2In3Te6 PBE optimized geometry; space group = C2/m (12); volume = 32.04 Å³/atom; total moment = 0.00 μB/cell; raw formation energy = -0.887 eV per atom
1.0
3.719 -6.433 0.000
3.719 6.433 0.000
-2.476 0.000 8.034
Dy Sc In Te
1 2 3 6
Direct
0.000 0.000 0.000
0.332 0.668 0.000
0.668 0.332 0.000
0.162 0.838 0.500
0.500 0.500 0.500
0.838 0.162 0.500
0.072 0.416 0.214
0.276 0.276 0.791
0.416 0.072 0.214
0.584 0.928 0.786
0.724 0.724 0.209
0.928 0.584 0.786

=====

4.
Tb2PmSc6 PBE optimized geometry; space group = P-3m1 (164); energy relative to the elements = 0.24 eV per atom; volume = 27.54 Å³/atom; total moment = 0.00 μB/cell
1.0
6.986 0.000 0.000
-3.493 6.050 0.000
0.000 0.000 5.862
Tb Pm Sc
2 1 6
Direct
0.333 0.667 0.193
0.667 0.333 0.807
0.000 0.000 0.000
0.189 0.377 0.683
0.189 0.811 0.683
0.377 0.189 0.317
0.623 0.811 0.683
0.811 0.189 0.317
0.811 0.623 0.317

=====

5.
Pa2Zn3Pd4 PBE optimized geometry; space group = Cmce (64); energy relative to the elements = -0.47 eV per atom; volume = 18.04 Å³/atom; total moment = 0.31 μB/cell
1.0
2.778 -7.919 0.000
2.778 7.919 0.000
0.000 0.000 7.382
Pa Zn Pd
4 6 8
Direct
0.110 0.890 0.917
0.390 0.610 0.417
0.610 0.390 0.583
0.890 0.110 0.083
0.000 0.000 0.500
0.021 0.479 0.750
0.479 0.021 0.250
0.500 0.500 0.000
0.521 0.979 0.750
0.979 0.521 0.250
0.171 0.829 0.534
0.185 0.315 0.750
0.315 0.185 0.250
0.329 0.671 0.034
0.671 0.329 0.966
0.685 0.815 0.750
0.815 0.685 0.250
0.829 0.171 0.466

=====

6.
Rb2ScTaP PBE optimized geometry; space group = P4/mmm (123); energy relative to the elements = 1.65 eV per atom; volume = 40.61 Å³/atom; total moment = 3.08 μB/cell
1.0
6.289 0.000 0.000
0.000 6.289 0.000
0.000 0.000 5.134
Rb Sc Ta P
2 1 1 1
Direct
0.000 0.500 0.000
0.500 0.000 0.000
0.000 0.000 0.500
0.000 0.000 0.000
0.500 0.500 0.500

=====

Number 3 is which compound? DySc2In3Te6

=====

volume of number 1 (Np3Tl4SnS8)? 27.13 Å³/atom

=====

Which of these has the highest volume? Rb2ScTaP